1.
Below is an optimized crystal structure of PmEr8Sc2, with properties calculated at the PBE level.

Values from the calculation:
* space group: No. 12
* energy: -4.728 eV/atom
* formation energy: 173 meV per atom
* ΔE to the lowest computed polymorph: 1.457 eV/f.u.
* mass density: 7.71 Mg/m³

a = 5.8115 Å, b = 9.0782 Å, c = 9.4863 Å
α = 61.41°, β = 72.25°, γ = 50.43°
Element x y z (fractional)
Pm1 0.5000 0.0000 0.0000
Er1 0.7723 0.0965 0.2662
Er2 0.7723 0.3627 0.7338
Er3 0.2441 0.4963 0.0000
Er4 0.5000 0.7977 0.4046
Er5 0.5000 0.2023 0.5954
Er6 0.7559 0.5037 0.0000
Er7 0.2277 0.6373 0.2662
Er8 0.2277 0.9035 0.7338
Sc1 0.0000 0.3129 0.3742
Sc2 0.0000 0.6871 0.6258



2.
Below is an optimized crystal structure of Cs2BaYBr6, with properties calculated at the PBE level.

Values from the calculation:
* space group: No. 59
* energy: -3.808 eV/atom
* mass density: 3.68 Mg/m³

a = 8.1867 Å, b = 8.8870 Å, c = 12.0359 Å
α = 90.00°, β = 90.00°, γ = 90.00°
Each line ends with the local moment (μB).
Element x y z (fractional)
Cs1 0.5000 0.7894 0.2244  0.00
Cs2 0.0000 0.2106 0.7244  0.00
Cs3 0.5000 0.7894 0.7756  0.00
Cs4 0.0000 0.2106 0.2756  0.00
Ba1 0.0000 0.7241 0.5000  0.07
Ba2 0.5000 0.2759 0.0000  0.07
Y1 0.5000 0.2278 0.5000  0.36
Y2 0.0000 0.7722 0.0000  0.36
Br1 0.5000 0.2267 0.2629  0.00
Br2 0.5000 0.2267 0.7371  0.00
Br3 0.0000 0.7733 0.2371  0.00
Br4 0.0000 0.7733 0.7629  0.00
Br5 0.2607 0.9941 0.5000  0.00
Br6 0.7393 0.9941 0.5000  0.00
Br7 0.2531 0.4520 0.5000  0.00
Br8 0.7469 0.4520 0.5000  0.00
Br9 0.7531 0.5480 0.0000  0.00
Br10 0.2469 0.5480 0.0000  0.00
Br11 0.2393 0.0059 0.0000  0.00
Br12 0.7607 0.0059 0.0000  0.00



3.
Below is an optimized crystal structure of AcTlIn2, with properties calculated at the PBE level.

Values from the calculation:
* space group: No. 166
* energy: -3.204 eV/atom
* formation energy: -217 meV per atom
* ΔE to the lowest computed polymorph: 0.599 eV/f.u.
* mass density: 8.69 Mg/m³

a = 5.0750 Å, b = 5.0750 Å, c = 6.3784 Å
α = 66.56°, β = 66.56°, γ = 60.00°
Element x y z (fractional)
Ac1 0.0000 0.0000 0.0000
Tl1 0.5000 0.5000 0.5000
In1 0.7719 0.7719 0.6842
In2 0.2281 0.2281 0.3158



4.
Below is an optimized crystal structure of DyErInAu, with properties calculated at the PBE level.

Values from the calculation:
* space group: No. 216
* energy: -4.413 eV/atom
* formation energy: -618 meV per atom
* ΔE to the lowest computed polymorph: 0.214 eV/f.u.
* mass density: 10.71 Mg/m³

a = 5.2003 Å, b = 5.2003 Å, c = 5.2003 Å
α = 60.00°, β = 60.00°, γ = 60.00°
Element x y z (fractional)
In1 0.5000 0.5000 0.5000
Dy1 0.7500 0.7500 0.7500
Au1 0.0000 0.0000 0.0000
Er1 0.2500 0.2500 0.2500



5.
Below is an optimized crystal structure of Na4HfIn3S8, with properties calculated at the PBE level.

Values from the calculation:
* space group: No. 12
* energy: -4.546 eV/atom
* mass density: 4.19 Mg/m³

a = 7.7432 Å, b = 8.0144 Å, c = 7.7441 Å
α = 118.90°, β = 120.00°, γ = 90.00°
Element x y z (fractional)
Na1 0.5000 0.0000 0.0000
Na2 0.5000 0.0000 0.5000
Na3 0.0000 0.0000 0.0000
Na4 0.0000 0.0000 0.5000
Hf1 0.0000 0.5000 0.0000
In1 0.5000 0.5000 0.0000
In2 0.5000 0.5000 0.5000
In3 0.0000 0.5000 0.5000
S1 0.2333 0.7187 0.9868
S2 0.2328 0.7177 0.4655
S3 0.2595 0.2786 0.5189
S4 0.7535 0.7187 0.9868
S5 0.2465 0.2813 0.0132
S6 0.7405 0.7214 0.4811
S7 0.7672 0.2823 0.5345
S8 0.7667 0.2813 0.0132



6.
Below is an optimized crystal structure of ZnAg3Hg, with properties calculated at the PBE level.

Values from the calculation:
* space group: No. 221
* energy: -1.578 eV/atom
* formation energy: 448 meV per atom
* ΔE to the lowest computed polymorph: 2.128 eV/f.u.
* mass density: 8.36 Mg/m³

a = 4.8933 Å, b = 4.8933 Å, c = 4.8933 Å
α = 90.00°, β = 90.00°, γ = 90.00°
Element x y z (fractional)
Zn1 0.0000 0.0000 0.0000
Hg1 0.5000 0.5000 0.5000
Ag1 0.0000 0.5000 0.0000
Ag2 0.0000 0.0000 0.5000
Ag3 0.5000 0.0000 0.0000



7.
Below is an optimized crystal structure of Pm3Se2Br, with properties calculated at the PBE level.

Values from the calculation:
* space group: No. 194
* energy: -5.386 eV/atom
* mass density: 6.97 Mg/m³

a = 4.0087 Å, b = 4.0087 Å, c = 23.0326 Å
α = 90.00°, β = 90.00°, γ = 120.00°
Element x y z (fractional)
Pm1 0.0000 0.0000 0.0000
Pm2 0.3333 0.6667 0.1546
Pm3 0.3333 0.6667 0.3454
Pm4 0.0000 0.0000 0.5000
Pm5 0.6667 0.3333 0.6546
Pm6 0.6667 0.3333 0.8454
Se1 0.3333 0.6667 0.9217
Se2 0.6667 0.3333 0.0783
Se3 0.6667 0.3333 0.4217
Se4 0.3333 0.6667 0.5783
Br1 0.0000 0.0000 0.2500
Br2 0.0000 0.0000 0.7500



8.
Below is an optimized crystal structure of Al2GaNi2, with properties calculated at the PBE level.

Values from the calculation:
* space group: No. 164
* energy: -4.953 eV/atom
* formation energy: -538 meV per atom
* mass density: 5.74 Mg/m³

a = 4.0416 Å, b = 4.0416 Å, c = 4.9335 Å
α = 90.00°, β = 90.00°, γ = 59.98°
Element x y z (fractional)
Al1 0.8334 0.3334 0.6464
Al2 0.1666 0.6666 0.3536
Ga1 0.5000 0.0000 0.0000
Ni1 0.8333 0.3333 0.1496
Ni2 0.1667 0.6667 0.8504



9.
Below is an optimized crystal structure of Cd2Au3, with properties calculated at the PBE level.

Values from the calculation:
* space group: No. 164
* energy: -2.362 eV/atom
* formation energy: -30 meV per atom
* mass density: 12.62 Mg/m³

a = 4.6393 Å, b = 4.6393 Å, c = 5.7597 Å
α = 90.00°, β = 90.00°, γ = 120.00°
Element x y z (fractional)
Cd1 0.6667 0.3333 0.1728
Cd2 0.3333 0.6667 0.8272
Au1 0.0000 0.0000 0.0000
Au2 0.6667 0.3333 0.6539
Au3 0.3333 0.6667 0.3461